P.
The following is a PBE calculation of a relaxed structure of Y2TlGa2, from the Alexandria database.

extended XYZ file:
```
5
Lattice="-1.1328 3.7876 -2.9822 -4.3267 -2.1496 -1.0867 -5.1699 3.5247 2.3289" Properties=species:S:1:pos:R:3 pbc="T T T"
Y -4.5162 4.0656 -1.3439
Y -6.1132 1.0970 -0.3961
Tl 0.0000 0.0000 0.0000
Ga -3.2350 1.3792 -1.1310
Ga -7.3944 3.7834 -0.6091
```

magnetization = 0.51 μB per formula unit



Q.
The following is a PBE calculation of a relaxed structure of Y2TlGa2, from the Alexandria database.

extended XYZ file:
```
10
Lattice="7.3204 0.0000 0.0000 0.0000 7.3204 0.0000 0.0000 0.0000 4.4078" Properties=species:S:1:pos:R:3 pbc="T T T"
Y 1.2613 4.9215 2.2039
Y 4.9215 6.0591 2.2039
Y 6.0591 2.3989 2.2039
Y 2.3989 1.2613 2.2039
Tl 0.0000 0.0000 0.0000
Tl 3.6602 3.6602 0.0000
Ga 2.7559 6.4161 0.0000
Ga 6.4161 4.5645 0.0000
Ga 4.5645 0.9043 0.0000
Ga 0.9043 2.7559 0.0000
```

magnetization = 0.00 μB per formula unit



Stability check: which of them is least stable? P.



P.
The following is a PBE calculation of a relaxed structure of Y2TlGa2, from the Alexandria database.

extended XYZ file:
```
5
Lattice="3.7173 0.0000 0.0000 0.0000 3.7173 0.0000 1.8586 1.8586 9.1545" Properties=species:S:1:pos:R:3 pbc="T T T"
Y 1.8586 1.8586 2.0326
Y 3.7173 3.7173 7.1219
Tl 0.0000 0.0000 0.0000
Ga 3.7173 1.8586 4.5772
Ga 1.8586 3.7173 4.5772
```

magnetization = 0.00 μB per formula unit



Q.
The following is a PBE calculation of a relaxed structure of Y2TlGa2, from the Alexandria database.

extended XYZ file:
```
10
Lattice="-3.4269 -5.6159 -5.3207 1.2992 -6.1545 5.6592 -3.2187 0.6225 1.4160" Properties=species:S:1:pos:R:3 pbc="T T T"
Y -0.0391 -6.8871 2.9392
Y -1.9440 -8.7881 -0.5551
Y -2.0886 -4.8833 -2.6007
Y -0.1837 -2.9823 0.8936
Tl 0.0000 0.0000 0.0000
Tl -1.0638 -5.8852 0.1692
Ga -1.2143 -4.1743 3.5781
Ga -2.5891 -8.5868 2.3931
Ga -4.1321 -6.9736 -1.8236
Ga -2.7573 -2.5611 -0.6386
```

magnetization = 0.00 μB per formula unit



Stability check: which of them is least stable? P.